1.
A relaxed Sm2GdDy crystal, computed with GGA-PBE.

```
data_Sm2GdDy
_symmetry_space_group_name_H-M 'F m -3 m'
_symmetry_Int_Tables_number 225
_symmetry_space_group_name_Hall '-F 4 2 3'
_cell_length_a 8.098
_cell_length_b 8.098
_cell_length_c 8.098
_cell_angle_alpha 90.00
_cell_angle_beta 90.00
_cell_angle_gamma 90.00
loop_
_atom_site_label
_atom_site_type_symbol
_atom_site_fract_x
_atom_site_fract_y
_atom_site_fract_z
Sm1 Sm 0.250 0.250 0.250
Gd1 Gd 0.000 0.000 0.000
Dy1 Dy 0.000 0.000 0.500
```

Calculated values
Excess energy over the best structure of this formula in the dataset ... 2.44 kcal/mol of atoms
Magnetic moment ... 35.31 μB/cell
Crystal system ... cubic
Formation energy ... 0.12 eV per atom
Density ... 7.76 g/cm3

***

2.
A relaxed NaTbSm2S4 crystal, computed with GGA-PBE.

```
data_NaTbSm2S4
_symmetry_space_group_name_H-M 'P 1 2/m 1'
_symmetry_Int_Tables_number 10
_symmetry_space_group_name_Hall '-P 2y'
_cell_length_a 6.921
_cell_length_b 3.979
_cell_length_c 6.923
_cell_angle_alpha 90.00
_cell_angle_beta 109.19
_cell_angle_gamma 90.00
loop_
_atom_site_label
_atom_site_type_symbol
_atom_site_fract_x
_atom_site_fract_y
_atom_site_fract_z
Na1 Na 0.000 0.000 0.000
Tb1 Tb 0.000 0.500 0.500
Sm1 Sm 0.500 0.000 0.500
Sm2 Sm 0.500 0.500 0.000
S1 S 0.244 0.000 0.746
S2 S 0.249 0.500 0.254
```

Calculated values
Magnetic moment ... 0.00 μB/cell
Crystal system ... monoclinic
Density ... 5.63 g/cm3
Formation energy from raw total energies ... -1920 meV per atom

***

3.
A relaxed Pm5NdY6 crystal, computed with GGA-PBE.

```
data_Pm5NdY6
_symmetry_space_group_name_H-M 'I m m m'
_symmetry_Int_Tables_number 71
_symmetry_space_group_name_Hall '-I 2 2'
_cell_length_a 5.126
_cell_length_b 10.159
_cell_length_c 15.354
_cell_angle_alpha 90.00
_cell_angle_beta 90.00
_cell_angle_gamma 90.00
loop_
_atom_site_label
_atom_site_type_symbol
_atom_site_fract_x
_atom_site_fract_y
_atom_site_fract_z
Pm1 Pm 0.000 0.000 0.000
Pm2 Pm 0.000 0.000 0.333
Pm3 Pm 0.000 0.500 0.333
Nd1 Nd 0.000 0.500 0.000
Y1 Y 0.000 0.250 0.167
Y2 Y 0.000 0.250 0.500
```

Calculated values
Excess energy over the best structure of this formula in the dataset ... 0.12 kcal/mol of atoms
Magnetic moment ... 0.00 μB/cell
Crystal system ... orthorhombic
Formation energy ... 0.02 eV per atom
Density ... 5.83 g/cm3

***

4.
A relaxed Sm3Mg2BRu3 crystal, computed with GGA-PBE.

```
data_Sm3Mg2BRu3
_symmetry_space_group_name_H-M 'P -6 2 m'
_symmetry_Int_Tables_number 189
_symmetry_space_group_name_Hall 'P -6 -2'
_cell_length_a 7.6940
_cell_length_b 7.6940
_cell_length_c 3.5172
_cell_angle_alpha 90.00
_cell_angle_beta 90.00
_cell_angle_gamma 120.00
loop_
_atom_site_label
_atom_site_type_symbol
_atom_site_fract_x
_atom_site_fract_y
_atom_site_fract_z
Sm1 Sm 0.0000 0.6602 0.0000
Mg1 Mg 0.3333 0.6667 0.5000
B1 B 0.0000 0.0000 0.0000
Ru1 Ru 0.0000 0.2140 0.5000
```

Calculated values
Magnetic moment ... 0.00 μB/cell
Crystal system ... hexagonal
Formation energy ... -0.05 eV per atom
Density ... 7.49 g/cm3